No. 1
First-principles (PBEsol) data for a relaxed AlCrCd2Pt crystal, as listed in Alexandria via LeMat-Bulk.

Lattice parameters (Å, degrees): 5.074 5.074 4.547 90.00 90.00 90.00
Space group P4/mmm (No. 123)
Symmetry-distinct sites (fractional):
Al: 0.000 0.000 0.000 (multiplicity 1)
Cr: 0.500 0.500 0.500 (multiplicity 1)
Cd: 0.000 0.500 0.500 (multiplicity 2)
Pt: 0.500 0.500 0.000 (multiplicity 1)

Calculated values
For the energy relative to the elements, the calculation gives 943 meV/atom. As for the crystal system: tetragonal. The calculation puts the total moment at 2.9 Bohr magnetons per cell. For the density of states at the Fermi level, the calculation gives 0.683 states/eV/atom. The total energy is -3.7951 eV/atom.

=====

No. 2
First-principles (PBEsol) data for a relaxed AlCrCdPt2 crystal, as listed in Alexandria via LeMat-Bulk.

Lattice parameters (Å, degrees): 4.533 4.533 4.573 90.00 90.00 90.00
Space group P4/mmm (No. 123)
Symmetry-distinct sites (fractional):
Al: 0.000 0.000 0.000 (multiplicity 1)
Cr: 0.000 0.000 0.500 (multiplicity 1)
Cd: 0.500 0.500 0.500 (multiplicity 1)
Pt: 0.000 0.500 0.000 (multiplicity 2)

Calculated values
For the energy relative to the elements, the calculation gives 583 meV/atom. As for the crystal system: tetragonal. The calculation puts the total moment at 3.8 Bohr magnetons per cell. For the density of states at the Fermi level, the calculation gives 0.769 states/eV/atom. The total energy is -5.3086 eV/atom.